A relaxed RbIn2SnCl5 crystal, computed with PBE-GGA.

Structure (POSCAR):
```
RbIn2SnCl5
1.0
2.187 -9.140 0.000
2.187 9.140 0.000
0.000 0.000 16.628
Rb In Sn Cl
2 4 2 10
direct
0.057 0.943 0.500 Rb
0.943 0.057 0.000 Rb
0.349 0.651 0.318 In
0.447 0.553 0.723 In
0.553 0.447 0.223 In
0.651 0.349 0.818 In
0.246 0.754 0.103 Sn
0.754 0.246 0.603 Sn
0.035 0.965 0.834 Cl
0.096 0.904 0.099 Cl
0.237 0.763 0.490 Cl
0.260 0.740 0.720 Cl
0.408 0.592 0.137 Cl
0.592 0.408 0.637 Cl
0.740 0.260 0.220 Cl
0.763 0.237 0.990 Cl
0.904 0.096 0.599 Cl
0.965 0.035 0.334 Cl
```

Properties
size of the total moment = 0.000 Bohr magnetons per cell
crystal system = orthorhombic
calculated volume = 664.9 Å³/cell
formation energy from raw total energies = -1.103 eV per atom